# Zn5Ni (PBEsol, relaxed)
data_Zn5Ni
_chemical_formula_sum 'Zn10 Ni2'
_symmetry_space_group_name_H-M 'A m m 2'
_symmetry_Int_Tables_number 38
_symmetry_space_group_name_Hall 'A 2 -2'
_cell_length_a 4.175
_cell_length_b 2.735
_cell_length_c 13.687
_cell_angle_alpha 90.00
_cell_angle_beta 90.00
_cell_angle_gamma 90.00
loop_
_atom_site_label
_atom_site_type_symbol
_atom_site_fract_x
_atom_site_fract_y
_atom_site_fract_z
_atom_site_occupancy
Zn1 Zn 0.000 0.000 0.000 1
Zn2 Zn 0.000 0.000 0.317 1
Zn3 Zn 0.500 0.000 0.208 1
Zn4 Zn 0.500 0.000 0.549 1
Zn5 Zn 0.500 0.000 0.880 1
Ni1 Ni 0.000 0.000 0.658 1
# * energy of formation from the pure elements: -107.7 meV per atom
# * E_tot: -2.452 eV per atom
# * mass density: 8.199 Mg/m³
# * D(E_F): 4.13 states/eV per cell

# ReRu2Pt (PBEsol, relaxed)
data_ReRu2Pt
_chemical_formula_sum 'Re2 Ru4 Pt2'
_symmetry_space_group_name_H-M 'C 1 2/m 1'
_symmetry_Int_Tables_number 12
_symmetry_space_group_name_Hall '-C 2y'
_cell_length_a 8.973
_cell_length_b 2.688
_cell_length_c 4.719
_cell_angle_alpha 90.00
_cell_angle_beta 99.79
_cell_angle_gamma 90.00
loop_
_atom_site_label
_atom_site_type_symbol
_atom_site_fract_x
_atom_site_fract_y
_atom_site_fract_z
_atom_site_occupancy
Re1 Re 0.000 0.000 0.000 1
Ru1 Ru 0.245 0.500 0.237 1
Pt1 Pt 0.000 0.500 0.500 1
# * energy of formation from the pure elements: 3.0 meV per atom
# * relative energy among the computed polymorphs: 20 meV per atom
# * E_tot: -10.157 eV per atom
# * mass density: 17.275 Mg/m³
# * D(E_F): 7.38 states/eV per cell

# Ba2InHg (PBEsol, relaxed)
data_Ba2InHg
_chemical_formula_sum 'Ba2 In1 Hg1'
_symmetry_space_group_name_H-M 'P m m 2'
_symmetry_Int_Tables_number 25
_symmetry_space_group_name_Hall 'P 2 -2'
_cell_length_a 4.081
_cell_length_b 5.904
_cell_length_c 5.905
_cell_angle_alpha 90.00
_cell_angle_beta 90.00
_cell_angle_gamma 90.00
loop_
_atom_site_label
_atom_site_type_symbol
_atom_site_fract_x
_atom_site_fract_y
_atom_site_fract_z
_atom_site_occupancy
Ba1 Ba 0.000 0.000 0.000 1
Ba2 Ba 0.000 0.500 0.493 1
In1 In 0.500 0.000 0.502 1
Hg1 Hg 0.500 0.500 0.990 1
# * energy of formation from the pure elements: -479.0 meV per atom
# * E_tot: -2.441 eV per atom
# * mass density: 6.887 Mg/m³
# * D(E_F): 2.75 states/eV per cell

# YSe2 (PBEsol, relaxed)
data_YSe2
_chemical_formula_sum 'Y4 Se8'
_symmetry_space_group_name_H-M 'I m m m'
_symmetry_Int_Tables_number 71
_symmetry_space_group_name_Hall '-I 2 2'
_cell_length_a 4.009
_cell_length_b 5.574
_cell_length_c 13.128
_cell_angle_alpha 90.00
_cell_angle_beta 90.00
_cell_angle_gamma 90.00
loop_
_atom_site_label
_atom_site_type_symbol
_atom_site_fract_x
_atom_site_fract_y
_atom_site_fract_z
_atom_site_occupancy
Y1 Y 0.000 0.000 0.149 1
Se1 Se 0.000 0.283 0.500 1
Se2 Se 0.000 0.500 0.205 1
# * E_tot: -6.419 eV per atom
# * mass density: 5.588 Mg/m³
# * raw formation energy: -1.578 eV per atom
# * D(E_F): 1.75 states/eV per cell

# InSiOs2 (PBEsol, relaxed)
data_InSiOs2
_chemical_formula_sum 'In2 Si2 Os4'
_symmetry_space_group_name_H-M 'C 1 2/m 1'
_symmetry_Int_Tables_number 12
_symmetry_space_group_name_Hall '-C 2y'
_cell_length_a 8.489
_cell_length_b 2.935
_cell_length_c 5.093
_cell_angle_alpha 90.00
_cell_angle_beta 104.66
_cell_angle_gamma 90.00
loop_
_atom_site_label
_atom_site_type_symbol
_atom_site_fract_x
_atom_site_fract_y
_atom_site_fract_z
_atom_site_occupancy
In1 In 0.000 0.000 0.000 1
Si1 Si 0.000 0.500 0.500 1
Os1 Os 0.224 0.000 0.702 1
# * relative energy among the computed polymorphs: 0 meV per atom
# * E_tot: -8.102 eV per atom
# * mass density: 14.159 Mg/m³
# * raw formation energy: 0.188 eV per atom
# * D(E_F): 3.44 states/eV per cell

# AgAs2Br (PBEsol, relaxed)
data_AgAs2Br
_chemical_formula_sum 'Ag3 As6 Br3'
_symmetry_space_group_name_H-M 'R 3 m'
_symmetry_Int_Tables_number 160
_symmetry_space_group_name_Hall 'R 3 -2"'
_cell_length_a 3.7288
_cell_length_b 3.7288
_cell_length_c 21.9957
_cell_angle_alpha 90.00
_cell_angle_beta 90.00
_cell_angle_gamma 120.00
loop_
_atom_site_label
_atom_site_type_symbol
_atom_site_fract_x
_atom_site_fract_y
_atom_site_fract_z
_atom_site_occupancy
Ag1 Ag 0.0000 0.0000 0.0000 1
As1 As 0.0000 0.0000 0.2493 1
As2 As 0.0000 0.0000 0.5195 1
Br1 Br 0.0000 0.0000 0.7421 1
# * relative energy among the computed polymorphs: 0 meV per atom
# * E_tot: -3.909 eV per atom
# * mass density: 6.350 Mg/m³
# * raw formation energy: -0.061 eV per atom
# * D(E_F): 0.61 states/eV per cell

# AlAu (PBEsol, relaxed)
data_AlAu
_chemical_formula_sum 'Al6 Au6'
_symmetry_space_group_name_H-M 'C 1 m 1'
_symmetry_Int_Tables_number 8
_symmetry_space_group_name_Hall 'C -2y'
_cell_length_a 8.842
_cell_length_b 3.540
_cell_length_c 6.744
_cell_angle_alpha 90.00
_cell_angle_beta 112.28
_cell_angle_gamma 90.00
loop_
_atom_site_label
_atom_site_type_symbol
_atom_site_fract_x
_atom_site_fract_y
_atom_site_fract_z
_atom_site_occupancy
Al1 Al 0.000 0.000 0.000 1
Al2 Al 0.038 0.000 0.564 1
Al3 Al 0.339 0.000 0.224 1
Au1 Au 0.148 0.500 0.327 1
Au2 Au 0.194 0.500 0.903 1
Au3 Au 0.353 0.000 0.667 1
# * energy of formation from the pure elements: -364.1 meV per atom
# * E_tot: -4.372 eV per atom
# * mass density: 11.425 Mg/m³
# * D(E_F): 2.16 states/eV per cell

# SrAg2Os (PBEsol, relaxed)
data_SrAg2Os
_chemical_formula_sum 'Sr2 Ag4 Os2'
_symmetry_space_group_name_H-M 'I m m m'
_symmetry_Int_Tables_number 71
_symmetry_space_group_name_Hall '-I 2 2'
_cell_length_a 2.837
_cell_length_b 5.197
_cell_length_c 10.801
_cell_angle_alpha 90.00
_cell_angle_beta 90.00
_cell_angle_gamma 90.00
loop_
_atom_site_label
_atom_site_type_symbol
_atom_site_fract_x
_atom_site_fract_y
_atom_site_fract_z
_atom_site_occupancy
Sr1 Sr 0.000 0.000 0.000 1
Ag1 Ag 0.000 0.500 0.217 1
Os1 Os 0.000 0.000 0.500 1
# * energy of formation from the pure elements: 623.6 meV per atom
# * relative energy among the computed polymorphs: 1 meV per atom
# * E_tot: -4.546 eV per atom
# * mass density: 10.292 Mg/m³
# * D(E_F): 5.16 states/eV per cell

# LiGaNiF2 (PBEsol, relaxed)
data_LiGaNiF2
_chemical_formula_sum 'Li1 Ga1 Ni1 F2'
_symmetry_space_group_name_H-M 'P 4/m m m'
_symmetry_Int_Tables_number 123
_symmetry_space_group_name_Hall '-P 4 2'
_cell_length_a 3.495
_cell_length_b 3.495
_cell_length_c 4.838
_cell_angle_alpha 90.00
_cell_angle_beta 90.00
_cell_angle_gamma 90.00
loop_
_atom_site_label
_atom_site_type_symbol
_atom_site_fract_x
_atom_site_fract_y
_atom_site_fract_z
_atom_site_occupancy
Li1 Li 0.000 0.000 0.000 1
Ga1 Ga 0.000 0.000 0.500 1
Ni1 Ni 0.500 0.500 0.500 1
F1 F 0.000 0.500 0.000 1
# * E_tot: -4.060 eV per atom
# * mass density: 4.872 Mg/m³
# * raw formation energy: -0.997 eV per atom
# * D(E_F): 1.30 states/eV per cell

# Co8Cu (PBEsol, relaxed)
data_Co8Cu
_chemical_formula_sum 'Co16 Cu2'
_symmetry_space_group_name_H-M 'I 4/m m m'
_symmetry_Int_Tables_number 139
_symmetry_space_group_name_Hall '-I 4 2'
_cell_length_a 7.343
_cell_length_b 7.343
_cell_length_c 3.489
_cell_angle_alpha 90.00
_cell_angle_beta 90.00
_cell_angle_gamma 90.00
loop_
_atom_site_label
_atom_site_type_symbol
_atom_site_fract_x
_atom_site_fract_y
_atom_site_fract_z
_atom_site_occupancy
Co1 Co 0.000 0.337 0.000 1
Co2 Co 0.169 0.169 0.500 1
Cu1 Cu 0.000 0.000 0.000 1
# * energy of formation from the pure elements: 58.4 meV per atom
# * E_tot: -7.301 eV per atom
# * mass density: 9.446 Mg/m³
# * D(E_F): 18.19 states/eV per cell

# Ni2HgAs (PBEsol, relaxed)
data_Ni2HgAs
_chemical_formula_sum 'Ni8 Hg4 As4'
_symmetry_space_group_name_H-M 'F -4 3 m'
_symmetry_Int_Tables_number 216
_symmetry_space_group_name_Hall 'F -4 2 3'
_cell_length_a 6.152
_cell_length_b 6.152
_cell_length_c 6.152
_cell_angle_alpha 90.00
_cell_angle_beta 90.00
_cell_angle_gamma 90.00
loop_
_atom_site_label
_atom_site_type_symbol
_atom_site_fract_x
_atom_site_fract_y
_atom_site_fract_z
_atom_site_occupancy
Ni1 Ni 0.000 0.000 0.000 1
Ni2 Ni 0.250 0.250 0.250 1
Hg1 Hg 0.250 0.250 0.750 1
As1 As 0.000 0.000 0.500 1
# * energy of formation from the pure elements: 348.4 meV per atom
# * E_tot: -4.149 eV per atom
# * mass density: 11.206 Mg/m³
# * D(E_F): 5.41 states/eV per cell

# GaHgSb2 (PBEsol, relaxed)
data_GaHgSb2
_chemical_formula_sum 'Ga4 Hg4 Sb8'
_symmetry_space_group_name_H-M 'F m -3 m'
_symmetry_Int_Tables_number 225
_symmetry_space_group_name_Hall '-F 4 2 3'
_cell_length_a 7.216
_cell_length_b 7.216
_cell_length_c 7.216
_cell_angle_alpha 90.00
_cell_angle_beta 90.00
_cell_angle_gamma 90.00
loop_
_atom_site_label
_atom_site_type_symbol
_atom_site_fract_x
_atom_site_fract_y
_atom_site_fract_z
_atom_site_occupancy
Ga1 Ga 0.000 0.000 0.000 1
Hg1 Hg 0.000 0.000 0.500 1
Sb1 Sb 0.250 0.250 0.250 1
# * E_tot: -3.101 eV per atom
# * mass density: 9.082 Mg/m³
# * raw formation energy: 0.154 eV per atom
# * D(E_F): 8.23 states/eV per cell